(1)
Density functional theory data (PBE-GGA) for a relaxed structure of LaYMo2.

Output
Space-group type: R-3m
Calculated formation energy, kJ per mole of atoms: 77

Unit cell a=9.267 b=9.267 c=9.267 alpha=20.88 beta=20.88 gamma=20.88
Positions (direct):
Mo  0.496  0.496  0.496
Mo  0.004  0.004  0.004
La  0.750  0.750  0.750
Y  0.250  0.250  0.250

(2)
Density functional theory data (PBE-GGA) for a relaxed structure of Tb2Nd6Sm.

Output
Space-group type: P4_2/mnm
Calculated formation energy, kJ per mole of atoms: 59

Unit cell a=8.294 b=8.294 c=10.567 alpha=90.00 beta=90.00 gamma=90.00
Positions (direct):
Nd  0.738  0.738  0.000
Nd  0.762  0.238  0.500
Nd  0.239  0.761  0.166
Nd  0.761  0.239  0.166
Nd  0.761  0.239  0.834
Nd  0.238  0.762  0.500
Nd  0.261  0.261  0.334
Nd  0.261  0.261  0.666
Nd  0.739  0.739  0.334
Nd  0.739  0.739  0.666
Nd  0.239  0.761  0.834
Nd  0.262  0.262  0.000
Tb  0.500  0.500  0.834
Tb  0.000  0.000  0.334
Tb  0.500  0.500  0.166
Tb  0.000  0.000  0.666
Sm  0.500  0.500  0.500
Sm  0.000  0.000  0.000

What did we get for uncorrected energy? Answer: -7.468; -4.125 eV per atom, in the order shown.
What did we get for total magnetization? Answer: 0.0; 0.0 μB per cell, in the order shown.
What did we get for D(E_F)? Answer: 1.427; 1.649 states/eV per atom, in the order shown.